First-principles (GGA-PBE) data for a relaxed structure of InAgCl2, as listed in Alexandria via LeMat-Bulk.

Geometry as CIF:
```
data_InAgCl2
_chemical_formula_sum 'In2 Ag2 Cl4'
_cell_length_a 12.006
_cell_length_b 3.526
_cell_length_c 7.283
_cell_angle_alpha 90.00
_cell_angle_beta 127.34
_cell_angle_gamma 90.00
_space_group_name_H-M_alt 'C 1 m 1'
_space_group_IT_number 8
loop_
_space_group_symop_operation_xyz
'x,y,z'
'x,-y,z'
'x+1/2,y+1/2,z'
'x+1/2,-y+1/2,z'
loop_
_atom_site_label
_atom_site_type_symbol
_atom_site_fract_x
_atom_site_fract_y
_atom_site_fract_z
_atom_site_occupancy
In1 In 0.000 0.000 0.000 1
Ag1 Ag 0.255 0.000 0.755 1
Cl1 Cl 0.136 0.500 0.382 1
Cl2 Cl 0.142 0.500 0.904 1
```

Calculated values
crystal system = monoclinic
volume = 30.6 Å³/atom
ΔE_f (raw) = -223 kJ/mol of formula units
raw total energy = -23.2 eV/cell
calculated density = 3978 kg/m3